{"formula": "BeCr2CoO6", "functional": "PBE with a Hubbard U", "state": "optimized geometry", "lattice_angstrom": [[-0.067, 0.792, 4.760], [-3.807, -1.384, 2.623], [0.705, -4.333, 3.177]], "species": ["Cr", "Cr", "Be", "O", "O", "O", "O", "O", "O", "Co"], "frac_coords": [[0.506, 0.506, 0.483], [0.022, 0.022, 0.935], [0.256, 0.256, 0.233], [0.936, 0.594, 0.241], [0.438, 0.749, 0.712], [0.594, 0.229, 0.241], [0.101, 0.438, 0.712], [0.749, 0.101, 0.712], [0.229, 0.936, 0.241], [0.832, 0.832, 0.505]], "m_tot_mub_per_cell": 5.0, "crystal_system": "trigonal", "total_energy_ev_per_cell": -70.3}